Entry 1:
Below is a geometry-optimized ReSb2Te structure, with properties calculated at the PBE level.

Calculated values
raw formation energy: 0.27 eV per atom

Unit cell a=5.1435 b=5.1435 c=6.5194 alpha=108.85 beta=108.85 gamma=38.29
Last column: nearest neighbours and their distance in Å.
Sites, in units of the cell vectors:
Re  0.0000  0.0000  0.0000  5 Sb 2.72-2.82, 2 Te 2.76
Sb  0.2755  0.2755  0.9763  3 Re 2.72-2.73
Sb  0.4232  0.4232  0.6319  2 Re 2.82, 1 Sb 3.05, 1 Te 3.13
Te  0.6262  0.6262  0.3479  2 Re 2.76

---

Entry 2:
Below is a geometry-optimized LuCu4Pt structure, with properties calculated at the PBE level.

Calculated values
DFT formation energy: -0.420 eV/atom

Unit cell a=4.9510 b=4.9510 c=4.9510 alpha=60.00 beta=60.00 gamma=60.00
Last column: nearest neighbours and their distance in Å.
Sites, in units of the cell vectors:
Lu  0.0000  0.0000  0.0000  12 Cu 2.90, 4 Pt 3.03
Cu  0.3755  0.3755  0.3755  6 Cu 2.47-2.49
Cu  0.3755  0.3755  0.8735  6 Cu 2.47-2.49
Cu  0.3755  0.8735  0.3755  6 Cu 2.47-2.49
Cu  0.8735  0.3755  0.3755  6 Cu 2.47-2.49
Pt  0.7500  0.7500  0.7500  12 Cu 2.90, 4 Lu 3.03

---

Entry 3:
Below is a geometry-optimized MgTe4Os structure, with properties calculated at the PBE level.

Calculated values
raw formation energy: 1.22 eV per atom

Unit cell a=6.2328 b=6.2328 c=6.2328 alpha=60.00 beta=60.00 gamma=60.00
Last column: nearest neighbours and their distance in Å.
Sites, in units of the cell vectors:
Mg  0.0000  0.0000  0.0000  12 Te 3.66, 4 Os 3.82
Te  0.3758  0.3758  0.3758  6 Te 3.10-3.14
Te  0.3758  0.3758  0.8726  6 Te 3.10-3.14
Te  0.3758  0.8726  0.3758  6 Te 3.10-3.14
Te  0.8726  0.3758  0.3758  6 Te 3.10-3.14
Os  0.7500  0.7500  0.7500  12 Te 3.65, 4 Mg 3.82

---

Entry 4:
Below is a geometry-optimized ErIBr structure, with properties calculated at the PBE level.

Calculated values
ΔE to the lowest computed polymorph: 0.313 eV per formula unit
raw formation energy: -1.25 eV per atom

Unit cell a=7.9930 b=7.9930 c=7.9930 alpha=153.71 beta=153.71 gamma=37.53
Last column: nearest neighbours and their distance in Å.
Sites, in units of the cell vectors:
Er  0.0000  0.0000  0.0000  4 Br 3.06, 4 I 3.17
I  0.3772  0.3772  0.0000  4 Er 3.17, 1 Br 3.53
Br  0.6102  0.6102  0.0000  4 Er 3.06